Material: Mg2InOs
Method: DFT, PBE
State: optimized geometry

Results
Its space group is No. 123. The calculated formation energy is 0.19 eV/atom.

```
data_Mg2InOs
_cell_length_a 4.139
_cell_length_b 4.142
_cell_length_c 4.173
_cell_angle_alpha 90.00
_cell_angle_beta 90.00
_cell_angle_gamma 90.00
_space_group_name_H-M_alt 'P 1'
_space_group_IT_number 1
_space_group_name_Hall 'P 1'
loop_
_atom_site_label
_atom_site_type_symbol
_atom_site_fract_x
_atom_site_fract_y
_atom_site_fract_z
In1 In 0.000 0.500 0.500
Mg1 Mg 0.000 0.000 0.000
Mg2 Mg 0.500 0.500 0.000
Os1 Os 0.500 0.000 0.500
```

Material: MgInOs2
Method: DFT, PBE
State: optimized geometry

Results
Its space group is No. 166. The calculated formation energy is 0.50 eV/atom.

```
data_MgInOs2
_cell_length_a 9.284
_cell_length_b 9.284
_cell_length_c 9.284
_cell_angle_alpha 17.87
_cell_angle_beta 17.87
_cell_angle_gamma 17.87
_space_group_name_H-M_alt 'P 1'
_space_group_IT_number 1
_space_group_name_Hall 'P 1'
loop_
_atom_site_label
_atom_site_type_symbol
_atom_site_fract_x
_atom_site_fract_y
_atom_site_fract_z
In1 In 0.250 0.250 0.250
Mg1 Mg 0.750 0.750 0.750
Os1 Os 0.001 0.001 0.001
Os2 Os 0.499 0.499 0.499
```

Material: Mg2InOs
Method: DFT, PBE
State: optimized geometry

Results
Its space group is No. 99. The calculated formation energy is 0.18 eV/atom.

```
data_Mg2InOs
_cell_length_a 3.460
_cell_length_b 3.459
_cell_length_c 6.129
_cell_angle_alpha 90.00
_cell_angle_beta 90.00
_cell_angle_gamma 90.00
_space_group_name_H-M_alt 'P 1'
_space_group_IT_number 1
_space_group_name_Hall 'P 1'
loop_
_atom_site_label
_atom_site_type_symbol
_atom_site_fract_x
_atom_site_fract_y
_atom_site_fract_z
In1 In 0.500 0.500 0.728
Mg1 Mg 0.000 0.000 0.006
Mg2 Mg 0.500 0.500 0.277
Os1 Os 0.000 0.000 0.490
```

Material: Mg2InOs
Method: DFT, PBE
State: optimized geometry

Results
Its space group is No. 119. The calculated formation energy is 0.10 eV/atom.

```
data_Mg2InOs
_cell_length_a 5.133
_cell_length_b 5.133
_cell_length_c 5.133
_cell_angle_alpha 133.12
_cell_angle_beta 133.12
_cell_angle_gamma 68.47
_space_group_name_H-M_alt 'P 1'
_space_group_IT_number 1
_space_group_name_Hall 'P 1'
loop_
_atom_site_label
_atom_site_type_symbol
_atom_site_fract_x
_atom_site_fract_y
_atom_site_fract_z
In1 In 0.750 0.250 0.500
Mg1 Mg 0.000 0.000 0.000
Mg2 Mg 0.250 0.750 0.500
Os1 Os 0.500 0.500 0.000
```

Material: MgInOs2
Method: DFT, PBE
State: optimized geometry

Results
Its space group is No. 139. The calculated formation energy is 0.50 eV/atom.

```
data_MgInOs2
_cell_length_a 5.021
_cell_length_b 5.021
_cell_length_c 5.021
_cell_angle_alpha 133.37
_cell_angle_beta 133.37
_cell_angle_gamma 68.07
_space_group_name_H-M_alt 'P 1'
_space_group_IT_number 1
_space_group_name_Hall 'P 1'
loop_
_atom_site_label
_atom_site_type_symbol
_atom_site_fract_x
_atom_site_fract_y
_atom_site_fract_z
In1 In 0.250 0.750 0.500
Mg1 Mg 0.750 0.250 0.500
Os1 Os 0.000 0.000 0.000
Os2 Os 0.500 0.500 0.000
```

Material: MgInOs2
Method: DFT, PBE
State: optimized geometry

Results
Its space group is No. 99. The calculated formation energy is 0.12 eV/atom.

```
data_MgInOs2
_cell_length_a 2.892
_cell_length_b 2.892
_cell_length_c 8.385
_cell_angle_alpha 90.00
_cell_angle_beta 90.00
_cell_angle_gamma 90.00
_space_group_name_H-M_alt 'P 1'
_space_group_IT_number 1
_space_group_name_Hall 'P 1'
loop_
_atom_site_label
_atom_site_type_symbol
_atom_site_fract_x
_atom_site_fract_y
_atom_site_fract_z
In1 In 0.000 0.000 0.472
Mg1 Mg 0.500 0.500 0.790
Os1 Os 0.000 0.000 0.023
Os2 Os 0.500 0.500 0.215
```

Material: MgInOs2
Method: DFT, PBE
State: optimized geometry

Results
Its space group is No. 65. The calculated formation energy is 0.57 eV/atom.

```
data_MgInOs2
_cell_length_a 2.839
_cell_length_b 2.839
_cell_length_c 9.075
_cell_angle_alpha 90.00
_cell_angle_beta 90.00
_cell_angle_gamma 115.33
_space_group_name_H-M_alt 'P 1'
_space_group_IT_number 1
_space_group_name_Hall 'P 1'
loop_
_atom_site_label
_atom_site_type_symbol
_atom_site_fract_x
_atom_site_fract_y
_atom_site_fract_z
In1 In 0.500 0.500 0.250
Mg1 Mg 0.500 0.500 0.750
Os1 Os 0.000 0.000 0.996
Os2 Os 0.000 0.000 0.504
```

Material: MgInOs2
Method: DFT, PBE
State: optimized geometry

Results
Its space group is No. 123. The calculated formation energy is 0.60 eV/atom.

```
data_MgInOs2
_cell_length_a 2.844
_cell_length_b 2.844
_cell_length_c 8.203
_cell_angle_alpha 90.00
_cell_angle_beta 90.00
_cell_angle_gamma 90.00
_space_group_name_H-M_alt 'P 1'
_space_group_IT_number 1
_space_group_name_Hall 'P 1'
loop_
_atom_site_label
_atom_site_type_symbol
_atom_site_fract_x
_atom_site_fract_y
_atom_site_fract_z
In1 In 0.500 0.500 0.250
Mg1 Mg 0.500 0.500 0.750
Os1 Os 0.000 0.000 0.997
Os2 Os 0.000 0.000 0.503
```

Material: MgIn4Os
Method: DFT, PBE
State: optimized geometry

Results
Its space group is No. 216. The calculated formation energy is 0.75 eV/atom.

```
data_MgIn4Os
_cell_length_a 5.756
_cell_length_b 5.756
_cell_length_c 5.756
_cell_angle_alpha 60.00
_cell_angle_beta 60.00
_cell_angle_gamma 60.00
_space_group_name_H-M_alt 'P 1'
_space_group_IT_number 1
_space_group_name_Hall 'P 1'
loop_
_atom_site_label
_atom_site_type_symbol
_atom_site_fract_x
_atom_site_fract_y
_atom_site_fract_z
Mg1 Mg 0.750 0.750 0.750
In1 In 0.877 0.374 0.374
In2 In 0.374 0.374 0.877
In3 In 0.374 0.877 0.374
In4 In 0.374 0.374 0.374
Os1 Os 0.000 0.000 0.000
```

Material: MgIn3Os
Method: DFT, PBE
State: optimized geometry

Results
Its space group is No. 221. The calculation puts the energy above the lowest structure with this stoichiometry at 0.0000 eV/atom. The calculated formation energy is 0.30 eV/atom.

```
data_MgIn3Os
_cell_length_a 5.208
_cell_length_b 5.208
_cell_length_c 5.208
_cell_angle_alpha 90.00
_cell_angle_beta 90.00
_cell_angle_gamma 90.00
_space_group_name_H-M_alt 'P 1'
_space_group_IT_number 1
_space_group_name_Hall 'P 1'
loop_
_atom_site_label
_atom_site_type_symbol
_atom_site_fract_x
_atom_site_fract_y
_atom_site_fract_z
Mg1 Mg 0.500 0.500 0.500
Os1 Os 0.000 0.000 0.000
In1 In 0.000 0.500 0.000
In2 In 0.000 0.000 0.500
In3 In 0.500 0.000 0.000
```

Material: MgInOs2
Method: DFT, PBE
State: optimized geometry

Results
Its space group is No. 12. The calculated formation energy is 0.38 eV/atom.

```
data_MgInOs2
_cell_length_a 4.764
_cell_length_b 4.764
_cell_length_c 5.193
_cell_angle_alpha 80.69
_cell_angle_beta 80.69
_cell_angle_gamma 35.12
_space_group_name_H-M_alt 'P 1'
_space_group_IT_number 1
_space_group_name_Hall 'P 1'
loop_
_atom_site_label
_atom_site_type_symbol
_atom_site_fract_x
_atom_site_fract_y
_atom_site_fract_z
In1 In 0.250 0.250 0.250
Mg1 Mg 0.750 0.750 0.750
Os1 Os 0.000 0.000 0.962
Os2 Os 0.500 0.500 0.538
```

Material: Mg4InOs
Method: DFT, PBE
State: optimized geometry

Results
Its space group is No. 216. The calculated formation energy is 0.43 eV/atom.

```
data_Mg4InOs
_cell_length_a 5.432
_cell_length_b 5.432
_cell_length_c 5.432
_cell_angle_alpha 60.00
_cell_angle_beta 60.00
_cell_angle_gamma 60.00
_space_group_name_H-M_alt 'P 1'
_space_group_IT_number 1
_space_group_name_Hall 'P 1'
loop_
_atom_site_label
_atom_site_type_symbol
_atom_site_fract_x
_atom_site_fract_y
_atom_site_fract_z
Mg1 Mg 0.872 0.376 0.376
Mg2 Mg 0.376 0.376 0.872
Mg3 Mg 0.376 0.872 0.376
Mg4 Mg 0.376 0.376 0.376
In1 In 0.000 0.000 0.000
Os1 Os 0.750 0.750 0.750
```